[1]
NiTeOsN2 after structural relaxation. Source: Alexandria, functional PBEsol.

Summary:
As for the magnetization: 1.44 Bohr magnetons per cell. As for the uncorrected formation energy: 8.70 eV/f.u. As for the calculated volume: 70.8 Å³ per cell.

a = 3.675 Å, b = 3.675 Å, c = 5.240 Å
α = 90.00°, β = 90.00°, γ = 90.00°
Space group P4/mmm (No. 123)
One atom of each set of equivalent atoms:
Ni (0.000, 0.000, 0.000) [1 per cell]
Te (0.000, 0.000, 0.500) [1 per cell]
Os (0.500, 0.500, 0.500) [1 per cell]
N (0.000, 0.500, 0.000) [2 per cell]



[2]
NiPRuN2 after structural relaxation. Source: Alexandria, functional PBEsol.

Summary:
As for the magnetization: 1.81 Bohr magnetons per cell. As for the uncorrected formation energy: 6.22 eV/f.u. As for the calculated volume: 52.1 Å³ per cell.

a = 3.446 Å, b = 3.446 Å, c = 4.389 Å
α = 90.00°, β = 90.00°, γ = 90.00°
Space group P4/mmm (No. 123)
One atom of each set of equivalent atoms:
Ni (0.000, 0.000, 0.000) [1 per cell]
P (0.000, 0.000, 0.500) [1 per cell]
Ru (0.500, 0.500, 0.000) [1 per cell]
N (0.000, 0.500, 0.500) [2 per cell]



[3]
NiP2SN after structural relaxation. Source: Alexandria, functional PBEsol.

Summary:
As for the magnetization: 1.22 Bohr magnetons per cell. As for the uncorrected formation energy: 7.72 eV/f.u. As for the calculated volume: 78.6 Å³ per cell.

a = 4.280 Å, b = 4.280 Å, c = 4.294 Å
α = 90.00°, β = 90.00°, γ = 90.00°
Space group P4/mmm (No. 123)
One atom of each set of equivalent atoms:
Ni (0.000, 0.000, 0.000) [1 per cell]
P (0.000, 0.500, 0.000) [2 per cell]
S (0.000, 0.000, 0.500) [1 per cell]
N (0.500, 0.500, 0.500) [1 per cell]



[4]
NiPS2N after structural relaxation. Source: Alexandria, functional PBEsol.

Summary:
As for the magnetization: 0.01 Bohr magnetons per cell. As for the uncorrected formation energy: 3.63 eV/f.u. As for the calculated volume: 69.6 Å³ per cell.

a = 4.547 Å, b = 4.547 Å, c = 3.369 Å
α = 90.00°, β = 90.00°, γ = 90.00°
Space group P4/mmm (No. 123)
One atom of each set of equivalent atoms:
Ni (0.000, 0.000, 0.000) [1 per cell]
P (0.500, 0.500, 0.500) [1 per cell]
S (0.000, 0.500, 0.000) [2 per cell]
N (0.000, 0.000, 0.500) [1 per cell]



[5]
NiPb2N2 after structural relaxation. Source: Alexandria, functional PBEsol.

Summary:
As for the magnetization: 0.00 Bohr magnetons per cell. As for the uncorrected formation energy: 2.82 eV/f.u. As for the calculated volume: 170.1 Å³ per cell.

a = 4.956 Å, b = 4.956 Å, c = 6.926 Å
α = 90.00°, β = 90.00°, γ = 90.00°
Space group I4/mmm (No. 139)
One atom of each set of equivalent atoms:
Ni (0.000, 0.000, 0.000) [2 per cell]
Pb (0.000, 0.500, 0.250) [4 per cell]
N (0.000, 0.000, 0.416) [4 per cell]



[6]
NiTe2PbN after structural relaxation. Source: Alexandria, functional PBEsol.

Summary:
As for the magnetization: 0.00 Bohr magnetons per cell. As for the uncorrected formation energy: 1.32 eV/f.u. As for the calculated volume: 106.6 Å³ per cell.

a = 5.564 Å, b = 5.564 Å, c = 3.444 Å
α = 90.00°, β = 90.00°, γ = 90.00°
Space group P4/mmm (No. 123)
One atom of each set of equivalent atoms:
Ni (0.000, 0.000, 0.000) [1 per cell]
Te (0.000, 0.500, 0.000) [2 per cell]
Pb (0.500, 0.500, 0.500) [1 per cell]
N (0.000, 0.000, 0.500) [1 per cell]



[7]
NiPdS2N after structural relaxation. Source: Alexandria, functional PBEsol.

Summary:
As for the magnetization: 1.53 Bohr magnetons per cell. As for the uncorrected formation energy: 5.49 eV/f.u. As for the calculated volume: 81.5 Å³ per cell.

a = 4.783 Å, b = 4.783 Å, c = 3.561 Å
α = 90.00°, β = 90.00°, γ = 90.00°
Space group P4/mmm (No. 123)
One atom of each set of equivalent atoms:
Ni (0.000, 0.000, 0.000) [1 per cell]
Pd (0.500, 0.500, 0.500) [1 per cell]
S (0.000, 0.500, 0.500) [2 per cell]
N (0.500, 0.500, 0.000) [1 per cell]



[8]
Tc2NiPdN after structural relaxation. Source: Alexandria, functional PBEsol.

Summary:
As for the magnetization: 2.14 Bohr magnetons per cell. As for the uncorrected formation energy: 12.54 eV/f.u. As for the calculated volume: 83.2 Å³ per cell.

a = 4.329 Å, b = 4.329 Å, c = 4.437 Å
α = 90.00°, β = 90.00°, γ = 90.00°
Space group P4/mmm (No. 123)
One atom of each set of equivalent atoms:
Tc (0.000, 0.500, 0.000) [2 per cell]
Ni (0.000, 0.000, 0.000) [1 per cell]
Pd (0.000, 0.000, 0.500) [1 per cell]
N (0.500, 0.500, 0.500) [1 per cell]



[9]
NiPt3N after structural relaxation. Source: Alexandria, functional PBEsol.

Summary:
As for the magnetization: 3.83 Bohr magnetons per cell. As for the uncorrected formation energy: 11.50 eV/f.u. As for the calculated volume: 90.4 Å³ per cell.

a = 4.488 Å, b = 4.488 Å, c = 4.488 Å
α = 90.00°, β = 90.00°, γ = 90.00°
Space group Pm-3m (No. 221)
One atom of each set of equivalent atoms:
Ni (0.000, 0.000, 0.000) [1 per cell]
Pt (0.000, 0.000, 0.500) [3 per cell]
N (0.500, 0.500, 0.500) [1 per cell]



[10]
NiPtS2N after structural relaxation. Source: Alexandria, functional PBEsol.

Summary:
As for the magnetization: 1.61 Bohr magnetons per cell. As for the uncorrected formation energy: 4.86 eV/f.u. As for the calculated volume: 83.8 Å³ per cell.

a = 4.837 Å, b = 4.837 Å, c = 3.581 Å
α = 90.00°, β = 90.00°, γ = 90.00°
Space group P4/mmm (No. 123)
One atom of each set of equivalent atoms:
Ni (0.000, 0.000, 0.000) [1 per cell]
Pt (0.500, 0.500, 0.500) [1 per cell]
S (0.000, 0.500, 0.500) [2 per cell]
N (0.500, 0.500, 0.000) [1 per cell]



[11]
RbNi3N after structural relaxation. Source: Alexandria, functional PBEsol.

Summary:
The energy above the most stable polymorph in this dataset comes out at 0.00 eV per formula unit. As for the magnetization: 0.68 Bohr magnetons per cell. As for the uncorrected formation energy: 3.13 eV/f.u. As for the calculated volume: 63.1 Å³ per cell.

a = 3.982 Å, b = 3.982 Å, c = 3.982 Å
α = 90.00°, β = 90.00°, γ = 90.00°
Space group Pm-3m (No. 221)
One atom of each set of equivalent atoms:
Rb (0.000, 0.000, 0.000) [1 per cell]
Ni (0.000, 0.500, 0.500) [3 per cell]
N (0.500, 0.500, 0.500) [1 per cell]



[12]
RbNiN3 after structural relaxation. Source: Alexandria, functional PBEsol.

Summary:
As for the magnetization: 5.47 Bohr magnetons per cell. As for the uncorrected formation energy: 18.42 eV/f.u. As for the calculated volume: 85.1 Å³ per cell.

a = 4.399 Å, b = 4.399 Å, c = 4.399 Å
α = 90.00°, β = 90.00°, γ = 90.00°
Space group Pm-3m (No. 221)
One atom of each set of equivalent atoms:
Rb (0.000, 0.000, 0.000) [1 per cell]
Ni (0.500, 0.500, 0.500) [1 per cell]
N (0.000, 0.000, 0.500) [3 per cell]



[13]
RbNi3N after structural relaxation. Source: Alexandria, functional PBEsol.

Summary:
The energy above the most stable polymorph in this dataset comes out at 13.08 eV per formula unit. As for the magnetization: 2.30 Bohr magnetons per cell. As for the uncorrected formation energy: 16.21 eV/f.u. As for the calculated volume: 89.1 Å³ per cell.

a = 4.467 Å, b = 4.467 Å, c = 4.467 Å
α = 90.00°, β = 90.00°, γ = 90.00°
Space group Pm-3m (No. 221)
One atom of each set of equivalent atoms:
Rb (0.000, 0.000, 0.000) [1 per cell]
Ni (0.000, 0.000, 0.500) [3 per cell]
N (0.500, 0.500, 0.500) [1 per cell]



[14]
Rb2NiN after structural relaxation. Source: Alexandria, functional PBEsol.

Summary:
As for the magnetization: 0.00 Bohr magnetons per cell. As for the uncorrected formation energy: -0.03 eV/f.u. As for the calculated volume: 489.4 Å³ per cell.

a = 11.901 Å, b = 11.901 Å, c = 3.456 Å
α = 90.00°, β = 90.00°, γ = 90.00°
Space group I-42d (No. 122)
One atom of each set of equivalent atoms:
Rb (0.015, 0.250, 0.125) [8 per cell]
Ni (0.000, 0.000, 0.500) [4 per cell]
N (0.000, 0.000, 0.000) [4 per cell]